# Li2MgMnSb

Li2MgMnSb after structural relaxation (PBE, the Alexandria database).

```
data_Li2MgMnSb
_cell_length_a 4.872
_cell_length_b 4.872
_cell_length_c 4.919
_cell_angle_alpha 90.00
_cell_angle_beta 90.00
_cell_angle_gamma 90.00
_space_group_name_H-M_alt 'P 4/m m m'
_space_group_IT_number 123
_space_group_name_Hall '-P 4 2'
loop_
_atom_site_label
_atom_site_type_symbol
_atom_site_fract_x
_atom_site_fract_y
_atom_site_fract_z
Li1 Li 0.000 0.500 0.000
Mg1 Mg 0.000 0.000 0.500
Mn1 Mn 0.500 0.500 0.000
Sb1 Sb 0.500 0.500 0.500
```



# Pm2SmDy3Sb6

Pm2SmDy3Sb6 after structural relaxation (PBE, the Alexandria database).

```
data_Pm2SmDy3Sb6
_cell_length_a 19.324
_cell_length_b 4.436
_cell_length_c 8.866
_cell_angle_alpha 90.00
_cell_angle_beta 103.19
_cell_angle_gamma 90.00
_space_group_name_H-M_alt 'C 1 2/m 1'
_space_group_IT_number 12
_space_group_name_Hall '-C 2y'
loop_
_atom_site_label
_atom_site_type_symbol
_atom_site_fract_x
_atom_site_fract_y
_atom_site_fract_z
Pm1 Pm 0.167 0.000 0.333
Sm1 Sm 0.000 0.500 0.000
Dy1 Dy 0.000 0.500 0.500
Dy2 Dy 0.167 0.000 0.833
Sb1 Sb 0.002 0.000 0.747
Sb2 Sb 0.165 0.500 0.587
Sb3 Sb 0.168 0.500 0.079
```



| no. | raw formation energy (eV per atom) |
| --- | --- |
| 1 | 0.3250 |
| 2 | -1.1568 |